[1]
# Pr2Pd9Pb, relaxed, DFT PBE
# formation energy from the elements = -0.587 eV per atom
# density of states at the Fermi level = 4.794 states/eV/f.u.
# SG = No. 123
data_Pr2Pd9Pb
_cell_length_a 4.199
_cell_length_b 4.199
_cell_length_c 12.473
_cell_angle_alpha 90.00
_cell_angle_beta 90.00
_cell_angle_gamma 90.00
_space_group_name_H-M_alt 'P 1'
_space_group_IT_number 1
loop_
_space_group_symop_operation_xyz
'x,y,z'
loop_
_atom_site_label
_atom_site_type_symbol
_atom_site_fract_x
_atom_site_fract_y
_atom_site_fract_z
_atom_site_occupancy
Pd1 Pd 0.500 0.500 0.672 1
Pd2 Pd 0.000 0.500 0.841 1
Pd3 Pd 0.500 0.000 0.159 1
Pd4 Pd 0.500 0.000 0.500 1
Pd5 Pd 0.000 0.500 0.159 1
Pd6 Pd 0.500 0.500 0.328 1
Pr1 Pr 0.000 0.000 0.331 1
Pb1 Pb 0.000 0.000 0.000 1
Pd7 Pd 0.500 0.000 0.841 1
Pd8 Pd 0.500 0.500 0.000 1
Pr2 Pr 0.000 0.000 0.669 1
Pd9 Pd 0.000 0.500 0.500 1

[2]
# CaLaBr2, relaxed, DFT PBE
# density of states at the Fermi level = 4.626 states/eV/f.u.
# E_form (uncorrected) = -0.9688 eV/atom
# SG = No. 122
data_CaLaBr2
_cell_length_a 6.863
_cell_length_b 6.863
_cell_length_c 8.266
_cell_angle_alpha 65.47
_cell_angle_beta 65.47
_cell_angle_gamma 90.00
_space_group_name_H-M_alt 'P 1'
_space_group_IT_number 1
loop_
_space_group_symop_operation_xyz
'x,y,z'
loop_
_atom_site_label
_atom_site_type_symbol
_atom_site_fract_x
_atom_site_fract_y
_atom_site_fract_z
_atom_site_occupancy
Ca1 Ca 0.500 0.500 0.000 1
Br1 Br 0.875 0.855 0.750 1
Br2 Br 0.375 0.395 0.750 1
Br3 Br 0.605 0.125 0.250 1
Ca2 Ca 0.250 0.750 0.500 1
La1 La 0.750 0.250 0.500 1
La2 La 0.000 0.000 0.000 1
Br4 Br 0.145 0.625 0.250 1

[3]
# LaY2Sc, relaxed, DFT PBE
# formation energy from the elements = 0.034 eV per atom
# density of states at the Fermi level = 6.771 states/eV/f.u.
# SG = No. 160
data_LaY2Sc
_cell_length_a 3.563
_cell_length_b 3.563
_cell_length_c 11.568
_cell_angle_alpha 81.14
_cell_angle_beta 81.14
_cell_angle_gamma 60.00
_space_group_name_H-M_alt 'P 1'
_space_group_IT_number 1
loop_
_space_group_symop_operation_xyz
'x,y,z'
loop_
_atom_site_label
_atom_site_type_symbol
_atom_site_fract_x
_atom_site_fract_y
_atom_site_fract_z
_atom_site_occupancy
Y1 Y 0.245 0.245 0.265 1
Sc1 Sc 0.500 0.500 0.499 1
La1 La 0.666 0.666 0.002 1
Y2 Y 0.088 0.088 0.735 1

[4]
# CrNi2Rh, relaxed, DFT PBE
# formation energy from the elements = -0.049 eV per atom
# density of states at the Fermi level = 5.034 states/eV/f.u.
# SG = No. 119
data_CrNi2Rh
_cell_length_a 4.471
_cell_length_b 4.471
_cell_length_c 4.471
_cell_angle_alpha 132.18
_cell_angle_beta 132.18
_cell_angle_gamma 69.95
_space_group_name_H-M_alt 'P 1'
_space_group_IT_number 1
loop_
_space_group_symop_operation_xyz
'x,y,z'
loop_
_atom_site_label
_atom_site_type_symbol
_atom_site_fract_x
_atom_site_fract_y
_atom_site_fract_z
_atom_site_occupancy
Ni1 Ni 0.000 0.000 0.000 1
Rh1 Rh 0.500 0.500 0.000 1
Ni2 Ni 0.250 0.750 0.500 1
Cr1 Cr 0.750 0.250 0.500 1

[5]
# La4CoNiCl2, relaxed, DFT PBE
# density of states at the Fermi level = 3.843 states/eV/f.u.
# E_form (uncorrected) = -0.9641 eV/atom
# SG = No. 10
data_La4CoNiCl2
_cell_length_a 4.005
_cell_length_b 7.209
_cell_length_c 8.012
_cell_angle_alpha 108.37
_cell_angle_beta 90.00
_cell_angle_gamma 90.00
_space_group_name_H-M_alt 'P 1'
_space_group_IT_number 1
loop_
_space_group_symop_operation_xyz
'x,y,z'
loop_
_atom_site_label
_atom_site_type_symbol
_atom_site_fract_x
_atom_site_fract_y
_atom_site_fract_z
_atom_site_occupancy
La1 La 0.500 0.766 0.799 1
Ni1 Ni 0.000 0.000 0.000 1
La2 La 0.500 0.234 0.201 1
Cl1 Cl 0.000 0.500 0.500 1
La3 La 0.000 0.278 0.799 1
Co1 Co 0.500 0.500 0.000 1
La4 La 0.000 0.722 0.201 1
Cl2 Cl 0.500 0.000 0.500 1

[6]
# BeAgW2, relaxed, DFT PBE
# formation energy from the elements = 0.293 eV per atom
# density of states at the Fermi level = 1.993 states/eV/f.u.
# SG = No. 35
data_BeAgW2
_cell_length_a 2.704
_cell_length_b 2.704
_cell_length_c 8.401
_cell_angle_alpha 90.00
_cell_angle_beta 90.00
_cell_angle_gamma 106.09
_space_group_name_H-M_alt 'P 1'
_space_group_IT_number 1
loop_
_space_group_symop_operation_xyz
'x,y,z'
loop_
_atom_site_label
_atom_site_type_symbol
_atom_site_fract_x
_atom_site_fract_y
_atom_site_fract_z
_atom_site_occupancy
Ag1 Ag 0.000 0.000 0.531 1
W1 W 0.000 0.000 0.974 1
Be1 Be 0.500 0.500 0.752 1
W2 W 0.500 0.500 0.242 1

[7]
# CeSm2ScBi5, relaxed, DFT PBE
# formation energy from the elements = 0.021 eV per atom
# density of states at the Fermi level = 8.154 states/eV/f.u.
# SG = No. 123
data_CeSm2ScBi5
_cell_length_a 5.634
_cell_length_b 5.634
_cell_length_c 11.446
_cell_angle_alpha 90.00
_cell_angle_beta 90.00
_cell_angle_gamma 90.00
_space_group_name_H-M_alt 'P 1'
_space_group_IT_number 1
loop_
_space_group_symop_operation_xyz
'x,y,z'
loop_
_atom_site_label
_atom_site_type_symbol
_atom_site_fract_x
_atom_site_fract_y
_atom_site_fract_z
_atom_site_occupancy
Bi1 Bi 0.500 0.500 0.000 1
Sm1 Sm 0.500 0.500 0.712 1
Sc1 Sc 0.000 0.000 0.000 1
Bi2 Bi 0.000 0.500 0.500 1
Bi3 Bi 0.500 0.000 0.500 1
Bi4 Bi 0.000 0.000 0.239 1
Bi5 Bi 0.000 0.000 0.761 1
Ce1 Ce 0.000 0.000 0.500 1
Sm2 Sm 0.500 0.500 0.288 1

[8]
# Co2Ni2Pb, relaxed, DFT PBE
# formation energy from the elements = 0.399 eV per atom
# density of states at the Fermi level = 7.647 states/eV/f.u.
# SG = No. 127
data_Co2Ni2Pb
_cell_length_a 6.871
_cell_length_b 6.871
_cell_length_c 2.959
_cell_angle_alpha 90.00
_cell_angle_beta 90.00
_cell_angle_gamma 90.00
_space_group_name_H-M_alt 'P 1'
_space_group_IT_number 1
loop_
_space_group_symop_operation_xyz
'x,y,z'
loop_
_atom_site_label
_atom_site_type_symbol
_atom_site_fract_x
_atom_site_fract_y
_atom_site_fract_z
_atom_site_occupancy
Ni1 Ni 0.125 0.375 0.000 1
Ni2 Ni 0.625 0.125 0.000 1
Pb1 Pb 0.000 0.000 0.000 1
Co1 Co 0.160 0.660 0.500 1
Co2 Co 0.660 0.840 0.500 1
Pb2 Pb 0.500 0.500 0.000 1
Ni3 Ni 0.375 0.875 0.000 1
Co3 Co 0.840 0.340 0.500 1
Co4 Co 0.340 0.160 0.500 1
Ni4 Ni 0.875 0.625 0.000 1

[9]
# LiSm2IrO6, relaxed, DFT PBE
# density of states at the Fermi level = 4.609 states/eV/f.u.
# E_form (uncorrected) = -2.3180 eV/atom
# SG = No. 14
data_LiSm2IrO6
_cell_length_a 5.820
_cell_length_b 5.392
_cell_length_c 9.355
_cell_angle_alpha 55.54
_cell_angle_beta 90.00
_cell_angle_gamma 90.00
_space_group_name_H-M_alt 'P 1'
_space_group_IT_number 1
loop_
_space_group_symop_operation_xyz
'x,y,z'
loop_
_atom_site_label
_atom_site_type_symbol
_atom_site_fract_x
_atom_site_fract_y
_atom_site_fract_z
_atom_site_occupancy
Sm1 Sm 0.578 0.227 0.752 1
Li1 Li 0.500 0.000 0.500 1
Ir1 Ir 0.500 0.500 0.000 1
O1 O 0.291 0.268 0.557 1
O2 O 0.709 0.732 0.443 1
O3 O 0.535 0.361 0.246 1
Sm2 Sm 0.922 0.227 0.252 1
O4 O 0.685 0.144 0.052 1
Li2 Li 0.000 0.000 0.000 1
O5 O 0.035 0.639 0.254 1
O6 O 0.791 0.732 0.943 1
Ir2 Ir 0.000 0.500 0.500 1
Sm3 Sm 0.422 0.773 0.248 1
O7 O 0.315 0.856 0.948 1
O8 O 0.185 0.856 0.448 1
O9 O 0.465 0.639 0.754 1
O10 O 0.815 0.144 0.552 1
O11 O 0.209 0.268 0.057 1
Sm4 Sm 0.078 0.773 0.748 1
O12 O 0.965 0.361 0.746 1

[10]
# Be2CrAg, relaxed, DFT PBE
# formation energy from the elements = 0.211 eV per atom
# density of states at the Fermi level = 2.616 states/eV/f.u.
# SG = No. 47
data_Be2CrAg
_cell_length_a 2.843
_cell_length_b 2.831
_cell_length_c 6.426
_cell_angle_alpha 63.80
_cell_angle_beta 90.00
_cell_angle_gamma 90.00
_space_group_name_H-M_alt 'P 1'
_space_group_IT_number 1
loop_
_space_group_symop_operation_xyz
'x,y,z'
loop_
_atom_site_label
_atom_site_type_symbol
_atom_site_fract_x
_atom_site_fract_y
_atom_site_fract_z
_atom_site_occupancy
Be1 Be 0.000 0.966 0.034 1
Ag1 Ag 0.500 0.750 0.750 1
Cr1 Cr 0.500 0.250 0.250 1
Be2 Be 0.000 0.534 0.466 1

[11]
# ZrFeRu2, relaxed, DFT PBE
# formation energy from the elements = 0.042 eV per atom
# density of states at the Fermi level = 4.261 states/eV/f.u.
# SG = No. 12
data_ZrFeRu2
_cell_length_a 5.139
_cell_length_b 5.139
_cell_length_c 2.835
_cell_angle_alpha 77.25
_cell_angle_beta 77.25
_cell_angle_gamma 114.99
_space_group_name_H-M_alt 'P 1'
_space_group_IT_number 1
loop_
_space_group_symop_operation_xyz
'x,y,z'
loop_
_atom_site_label
_atom_site_type_symbol
_atom_site_fract_x
_atom_site_fract_y
_atom_site_fract_z
_atom_site_occupancy
Ru1 Ru 0.000 0.000 0.000 1
Zr1 Zr 0.500 0.000 0.500 1
Fe1 Fe 0.000 0.500 0.500 1
Ru2 Ru 0.500 0.500 0.000 1

[12]
# Cr2TeCl, relaxed, DFT PBE
# density of states at the Fermi level = 2.669 states/eV/f.u.
# E_form (uncorrected) = 0.5958 eV/atom
# SG = No. 216
data_Cr2TeCl
_cell_length_a 4.983
_cell_length_b 4.983
_cell_length_c 4.983
_cell_angle_alpha 60.00
_cell_angle_beta 60.00
_cell_angle_gamma 60.00
_space_group_name_H-M_alt 'P 1'
_space_group_IT_number 1
loop_
_space_group_symop_operation_xyz
'x,y,z'
loop_
_atom_site_label
_atom_site_type_symbol
_atom_site_fract_x
_atom_site_fract_y
_atom_site_fract_z
_atom_site_occupancy
Te1 Te 0.750 0.750 0.750 1
Cr1 Cr 0.000 0.000 0.000 1
Cr2 Cr 0.250 0.250 0.250 1
Cl1 Cl 0.500 0.500 0.500 1

[13]
# TeHPdN2, relaxed, DFT PBE
# density of states at the Fermi level = 1.903 states/eV/f.u.
# SG = No. 123
data_TeHPdN2
_cell_length_a 3.980
_cell_length_b 3.980
_cell_length_c 3.606
_cell_angle_alpha 90.00
_cell_angle_beta 90.00
_cell_angle_gamma 90.00
_space_group_name_H-M_alt 'P 1'
_space_group_IT_number 1
loop_
_space_group_symop_operation_xyz
'x,y,z'
loop_
_atom_site_label
_atom_site_type_symbol
_atom_site_fract_x
_atom_site_fract_y
_atom_site_fract_z
_atom_site_occupancy
N1 N 0.000 0.500 0.000 1
Te1 Te 0.000 0.000 0.500 1
Pd1 Pd 0.500 0.500 0.500 1
N2 N 0.500 0.000 0.000 1
H1 H 0.000 0.000 0.000 1

[14]
# Ce2SmAu3, relaxed, DFT PBE
# formation energy from the elements = -0.659 eV per atom
# density of states at the Fermi level = 15.265 states/eV/f.u.
# SG = No. 123
data_Ce2SmAu3
_cell_length_a 3.655
_cell_length_b 3.655
_cell_length_c 11.265
_cell_angle_alpha 90.00
_cell_angle_beta 90.00
_cell_angle_gamma 90.00
_space_group_name_H-M_alt 'P 1'
_space_group_IT_number 1
loop_
_space_group_symop_operation_xyz
'x,y,z'
loop_
_atom_site_label
_atom_site_type_symbol
_atom_site_fract_x
_atom_site_fract_y
_atom_site_fract_z
_atom_site_occupancy
Ce1 Ce 0.500 0.500 0.167 1
Au1 Au 0.000 0.000 0.339 1
Ce2 Ce 0.500 0.500 0.833 1
Sm1 Sm 0.500 0.500 0.500 1
Au2 Au 0.000 0.000 0.000 1
Au3 Au 0.000 0.000 0.661 1

[15]
# ZrOs2Se, relaxed, DFT PBE
# density of states at the Fermi level = 0.907 states/eV/f.u.
# E_form (uncorrected) = 0.0287 eV/atom
# SG = No. 99
data_ZrOs2Se
_cell_length_a 3.032
_cell_length_b 3.032
_cell_length_c 7.248
_cell_angle_alpha 90.00
_cell_angle_beta 90.00
_cell_angle_gamma 90.00
_space_group_name_H-M_alt 'P 1'
_space_group_IT_number 1
loop_
_space_group_symop_operation_xyz
'x,y,z'
loop_
_atom_site_label
_atom_site_type_symbol
_atom_site_fract_x
_atom_site_fract_y
_atom_site_fract_z
_atom_site_occupancy
Zr1 Zr 0.500 0.500 0.735 1
Os1 Os 0.000 0.000 0.028 1
Se1 Se 0.000 0.000 0.494 1
Os2 Os 0.500 0.500 0.243 1

[16]
# LaYRe2, relaxed, DFT PBE
# formation energy from the elements = 0.578 eV per atom
# density of states at the Fermi level = 4.959 states/eV/f.u.
# SG = No. 160
data_LaYRe2
_cell_length_a 10.362
_cell_length_b 10.362
_cell_length_c 10.362
_cell_angle_alpha 17.77
_cell_angle_beta 17.77
_cell_angle_gamma 17.77
_space_group_name_H-M_alt 'P 1'
_space_group_IT_number 1
loop_
_space_group_symop_operation_xyz
'x,y,z'
loop_
_atom_site_label
_atom_site_type_symbol
_atom_site_fract_x
_atom_site_fract_y
_atom_site_fract_z
_atom_site_occupancy
Re1 Re 0.014 0.014 0.014 1
Re2 Re 0.739 0.739 0.739 1
La1 La 0.262 0.262 0.262 1
Y1 Y 0.485 0.485 0.485 1

[17]
# GdHoAg4, relaxed, DFT PBE
# formation energy from the elements = -0.172 eV per atom
# density of states at the Fermi level = 5.061 states/eV/f.u.
# SG = No. 216
data_GdHoAg4
_cell_length_a 5.709
_cell_length_b 5.709
_cell_length_c 5.709
_cell_angle_alpha 60.00
_cell_angle_beta 60.00
_cell_angle_gamma 60.00
_space_group_name_H-M_alt 'P 1'
_space_group_IT_number 1
loop_
_space_group_symop_operation_xyz
'x,y,z'
loop_
_atom_site_label
_atom_site_type_symbol
_atom_site_fract_x
_atom_site_fract_y
_atom_site_fract_z
_atom_site_occupancy
Ag1 Ag 0.625 0.625 0.125 1
Ag2 Ag 0.125 0.625 0.625 1
Ag3 Ag 0.625 0.125 0.625 1
Ag4 Ag 0.625 0.625 0.625 1
Ho1 Ho 0.000 0.000 0.000 1
Gd1 Gd 0.250 0.250 0.250 1

[18]
# PaZnIn2, relaxed, DFT PBE
# formation energy from the elements = -0.053 eV per atom
# density of states at the Fermi level = 4.814 states/eV/f.u.
# SG = No. 123
data_PaZnIn2
_cell_length_a 4.586
_cell_length_b 4.514
_cell_length_c 4.514
_cell_angle_alpha 90.00
_cell_angle_beta 90.00
_cell_angle_gamma 90.00
_space_group_name_H-M_alt 'P 1'
_space_group_IT_number 1
loop_
_space_group_symop_operation_xyz
'x,y,z'
loop_
_atom_site_label
_atom_site_type_symbol
_atom_site_fract_x
_atom_site_fract_y
_atom_site_fract_z
_atom_site_occupancy
In1 In 0.000 0.000 0.500 1
In2 In 0.000 0.500 0.000 1
Pa1 Pa 0.500 0.500 0.500 1
Zn1 Zn 0.500 0.000 0.000 1

[19]
# NbCrB, relaxed, DFT PBE
# formation energy from the elements = -0.088 eV per atom
# density of states at the Fermi level = 1.668 states/eV/f.u.
# SG = No. 12
data_NbCrB
_cell_length_a 9.282
_cell_length_b 3.136
_cell_length_c 5.246
_cell_angle_alpha 90.00
_cell_angle_beta 97.25
_cell_angle_gamma 90.00
_space_group_name_H-M_alt 'P 1'
_space_group_IT_number 1
loop_
_space_group_symop_operation_xyz
'x,y,z'
loop_
_atom_site_label
_atom_site_type_symbol
_atom_site_fract_x
_atom_site_fract_y
_atom_site_fract_z
_atom_site_occupancy
Nb1 Nb 0.853 0.000 0.302 1
Nb2 Nb 0.147 0.000 0.698 1
Nb3 Nb 0.853 0.500 0.802 1
B1 B 0.500 0.500 0.500 1
Cr1 Cr 0.384 0.000 0.308 1
B2 B 0.000 0.000 0.000 1
B3 B 0.000 0.500 0.500 1
Nb4 Nb 0.147 0.500 0.198 1
Cr2 Cr 0.616 0.500 0.192 1
Cr3 Cr 0.616 0.000 0.692 1
B4 B 0.500 0.000 0.000 1
Cr4 Cr 0.384 0.500 0.808 1

[20]
# LiRuW2, relaxed, DFT PBE
# formation energy from the elements = 0.320 eV per atom
# density of states at the Fermi level = 2.873 states/eV/f.u.
# SG = No. 44
data_LiRuW2
_cell_length_a 5.094
_cell_length_b 5.094
_cell_length_c 5.094
_cell_angle_alpha 145.07
_cell_angle_beta 127.76
_cell_angle_gamma 64.39
_space_group_name_H-M_alt 'P 1'
_space_group_IT_number 1
loop_
_space_group_symop_operation_xyz
'x,y,z'
loop_
_atom_site_label
_atom_site_type_symbol
_atom_site_fract_x
_atom_site_fract_y
_atom_site_fract_z
_atom_site_occupancy
Li1 Li 0.493 0.493 0.000 1
W1 W 0.002 0.002 0.000 1
W2 W 0.759 0.259 0.500 1
Ru1 Ru 0.245 0.745 0.500 1

Number 1: E -67.05 eV per cell. Number 2: E -28.30 eV per cell. Number 3: E -24.05 eV per cell. Number 4: E -28.73 eV per cell. Number 5: E -44.00 eV per cell. Number 6: E -31.31 eV per cell. Number 7: E -40.92 eV per cell. Number 8: E -54.98 eV per cell. Number 9: E -146.28 eV per cell. Number 10: E -19.08 eV per cell. Number 11: E -35.40 eV per cell. Number 12: E -21.85 eV per cell. Number 13: E -19.11 eV per cell. Number 14: E -30.37 eV per cell. Number 15: E -34.38 eV per cell. Number 16: E -33.97 eV per cell. Number 17: E -31.10 eV per cell. Number 18: E -16.46 eV per cell. Number 19: E -106.54 eV per cell. Number 20: E -35.82 eV per cell.